Arrangement a

A relaxed CaPm2Pr crystal. Source: the Alexandria database, functional PBE-GGA.

Output
The value obtained for the calculated density is 5.46 Mg/m³. The total magnetization is 0.00 μB per cell. The density of states at the Fermi level is 6.43 states/eV per cell. Its space group is No. 123.

Lattice parameters (Å, degrees): 5.210 5.210 5.277 90.00 90.00 90.00
Fractional coordinates of all 4 atoms:
1 Ca 0.000 0.000 0.000
2 Pm 0.000 0.500 0.500
3 Pm 0.500 0.000 0.500
4 Pr 0.500 0.500 0.000

=====

Arrangement b

A relaxed CaPm2Pr crystal. Source: the Alexandria database, functional PBE-GGA.

Output
The value obtained for the calculated density is 5.37 Mg/m³. The total magnetization is 0.00 μB per cell. The density of states at the Fermi level is 20.12 states/eV per cell. Its space group is No. 166.

Lattice parameters (Å, degrees): 3.704 3.704 36.809 90.00 90.00 120.00
Fractional coordinates of all 12 atoms:
1 Ca 0.000 0.000 0.000
2 Ca 0.333 0.667 0.667
3 Ca 0.667 0.333 0.333
4 Pm 0.000 0.000 0.247
5 Pm 0.000 0.000 0.753
6 Pm 0.333 0.667 0.420
7 Pm 0.333 0.667 0.914
8 Pm 0.667 0.333 0.086
9 Pm 0.667 0.333 0.580
10 Pr 0.000 0.000 0.500
11 Pr 0.333 0.667 0.167
12 Pr 0.667 0.333 0.833

=====

Stability, highest: arrangement b